DFT (PBE) results for a relaxed structure of CsLaSe2.

Lattice parameters (Å, degrees): 5.5302 5.5302 3.9626 90.00 90.00 90.00
Space group P4/mmm (No. 123)
Asymmetric unit:
Cs 0.0000 0.0000 0.0000 (multiplicity 1)
La 0.5000 0.5000 0.0000 (multiplicity 1)
Se 0.0000 0.5000 0.5000 (multiplicity 2)

Summary:
- Formation energy without anion corrections: -120 kJ per mole of atoms

DFT (PBE) results for a relaxed structure of KTiBr2.

Lattice parameters (Å, degrees): 6.6048 6.6048 13.8025 90.00 90.00 90.00
Space group I-42d (No. 122)
Asymmetric unit:
K 0.0000 0.0000 0.0000 (multiplicity 4)
Ti 0.0000 0.0000 0.5000 (multiplicity 4)
Br 0.1700 0.2500 0.6250 (multiplicity 8)

Summary:
- ΔE to the lowest computed polymorph: 33 meV/atom
- Formation energy without anion corrections: -67 kJ per mole of atoms

DFT (PBE) results for a relaxed structure of LiAc2Rh2.

Lattice parameters (Å, degrees): 6.5421 12.2265 6.1271 90.00 90.00 90.00
Space group Ibam (No. 72)
Asymmetric unit:
Li 0.0000 0.0000 0.2500 (multiplicity 4)
Ac 0.1889 0.3592 0.0000 (multiplicity 8)
Rh 0.2313 0.1185 0.0000 (multiplicity 8)

Summary:
- ΔE to the lowest computed polymorph: 44 meV/atom
- Formation energy from the elements: -466 meV/atom

DFT (PBE) results for a relaxed structure of LiNdZr.

Lattice parameters (Å, degrees): 3.8524 3.8524 10.9157 90.00 90.00 90.00
Space group P4/nmm (No. 129, origin choice 2)
Asymmetric unit:
Li 0.2500 0.2500 0.0626 (multiplicity 2)
Nd 0.2500 0.2500 0.7435 (multiplicity 2)
Zr 0.2500 0.2500 0.4417 (multiplicity 2)

Summary:
- ΔE to the lowest computed polymorph: 0 meV/atom
- Formation energy from the elements: 91 meV/atom